Below is crystalline Sc3Au at its relaxed geometry, with properties calculated at the PBEsol level.

Summary:
Space group = No. 194
Electronic total energy = -6.343 eV per atom
DOS at the Fermi energy = 2.8 states/eV/f.u.
ΔE_f = -408 meV per atom
Magnetization = 0.00 μB per atom

Cell: 4.8558 6.1999 6.1999 Å, 120.00 90.00 90.00°
With the nearest neighbours (Å) after each atom.
Positions (direct):
Sc 0.7500 0.1741 0.3483  8 Sc 2.96-3.24, 4 Au 2.97-3.10
Sc 0.2500 0.8259 0.6517  8 Sc 2.96-3.24, 4 Au 2.97-3.10
Sc 0.7500 0.6517 0.8259  8 Sc 2.96-3.24, 4 Au 2.97-3.10
Sc 0.2500 0.8259 0.1741  8 Sc 2.96-3.24, 4 Au 2.97-3.10
Sc 0.7500 0.1741 0.8259  8 Sc 2.96-3.24, 4 Au 2.97-3.10
Sc 0.2500 0.3483 0.1741  8 Sc 2.96-3.24, 4 Au 2.97-3.10
Au 0.2500 0.3333 0.6667  12 Sc 2.97-3.10
Au 0.7500 0.6667 0.3333  12 Sc 2.97-3.10

Below is crystalline Sc3Au at its relaxed geometry, with properties calculated at the PBEsol level.

Summary:
Space group = No. 187
Electronic total energy = -6.219 eV per atom
DOS at the Fermi energy = 5.6 states/eV/f.u.
ΔE_f = -284 meV per atom
Magnetization = 0.04 μB per atom

Cell: 3.3940 3.3940 8.9793 Å, 90.00 90.00 120.00°
With the nearest neighbours (Å) after each atom.
Positions (direct):
Au 0.0000 0.0000 0.0000  6 Sc 2.78
Sc 0.6667 0.3333 0.7807  3 Au 2.78
Sc 0.6667 0.3333 0.2193  3 Au 2.78
Sc 0.0000 0.0000 0.5000  12 Sc 3.19-3.39

Below is crystalline Sc3Au at its relaxed geometry, with properties calculated at the PBEsol level.

Summary:
Space group = No. 71
Electronic total energy = -6.368 eV per atom
DOS at the Fermi energy = 3.9 states/eV/f.u.
ΔE_f = -433 meV per atom
Magnetization = 0.00 μB per atom

Cell: 3.4858 4.7477 5.8347 Å, 114.01 107.38 90.00°
With the nearest neighbours (Å) after each atom.
Positions (direct):
Au 0.0000 0.0000 0.0000  8 Sc 2.81-2.94
Sc 0.2809 0.7809 0.5617  2 Au 2.81, 4 Sc 3.01
Sc 0.7191 0.2191 0.4383  2 Au 2.81, 4 Sc 3.01
Sc 0.5000 0.5000 0.0000  4 Au 2.94, 4 Sc 3.24

Below is crystalline Sc5Au at its relaxed geometry, with properties calculated at the PBEsol level.

Summary:
Space group = No. 123
Electronic total energy = -6.383 eV per atom
DOS at the Fermi energy = 9.6 states/eV/f.u.
ΔE_f = -225 meV per atom
Magnetization = 0.17 μB per atom
Relative energy among the computed polymorphs = 27 meV/atom

Cell: 3.3453 3.3453 11.7845 Å, 90.00 90.00 90.00°
With the nearest neighbours (Å) after each atom.
Positions (direct):
Sc 0.0000 0.0000 0.3607  4 Au 2.88, 4 Sc 3.18
Sc 0.5000 0.5000 0.1804  12 Sc 3.18-3.35
Sc 0.5000 0.5000 0.8196  12 Sc 3.18-3.35
Sc 0.0000 0.0000 0.6393  4 Au 2.88, 4 Sc 3.18
Sc 0.0000 0.0000 0.0000  12 Sc 3.18-3.35
Au 0.5000 0.5000 0.5000  8 Sc 2.88

Below is crystalline Sc5Au at its relaxed geometry, with properties calculated at the PBEsol level.

Summary:
Space group = No. 12
Electronic total energy = -6.410 eV per atom
DOS at the Fermi energy = 7.6 states/eV/f.u.
ΔE_f = -251 meV per atom
Magnetization = 0.00 μB per atom
Relative energy among the computed polymorphs = 0 meV/atom

Cell: 3.4125 5.7732 7.5050 Å, 110.71 90.00 107.19°
With the nearest neighbours (Å) after each atom.
Positions (direct):
Sc 0.6407 0.2814 0.2504  2 Au 2.91, 5 Sc 3.23-3.24
Sc 0.3260 0.6520 0.0868  2 Au 2.82, 4 Sc 3.01-3.08
Sc 0.3037 0.6073 0.6384  2 Au 2.91, 5 Sc 3.23-3.24
Sc 0.6186 0.2372 0.8023  2 Au 2.82, 4 Sc 3.01-3.09
Sc 0.9722 0.9443 0.4446  12 Sc 3.08-3.41
Au 0.9722 0.9444 0.9443  8 Sc 2.82-2.91

Below is crystalline Sc2Au at its relaxed geometry, with properties calculated at the PBEsol level.

Summary:
Space group = No. 36
Electronic total energy = -6.238 eV per atom
DOS at the Fermi energy = 3.7 states/eV/f.u.
ΔE_f = -526 meV per atom
Magnetization = 0.00 μB per atom

Cell: 3.5144 6.0595 6.3194 Å, 90.01 90.00 106.86°
With the nearest neighbours (Å) after each atom.
Positions (direct):
Sc 0.6638 0.3275 0.0134  3 Au 2.76-2.83
Sc 0.3375 0.6750 0.7122  4 Au 2.71-2.84
Sc 0.0585 0.1170 0.5136  3 Au 2.76-2.83
Sc 0.3847 0.7694 0.2123  4 Au 2.71-2.84
Au 0.7377 0.4753 0.4409  7 Sc 2.71-2.84
Au 0.9845 0.9691 0.9410  7 Sc 2.71-2.84

Below is crystalline Sc4Au at its relaxed geometry, with properties calculated at the PBEsol level.

Summary:
Space group = No. 229
Electronic total energy = -5.913 eV per atom
DOS at the Fermi energy = 9.4 states/eV/f.u.
ΔE_f = 156 meV per atom
Magnetization = 0.03 μB per atom

Cell: 5.4919 5.4919 5.4919 Å, 109.47 109.47 109.47°
With the nearest neighbours (Å) after each atom.
Positions (direct):
Sc 0.0000 0.5000 0.0000  2 Au 2.75
Sc 0.0000 0.0000 0.5000  2 Au 2.75
Sc 0.5000 0.5000 0.5000  2 Au 2.75
Sc 0.5000 0.0000 0.0000  2 Au 2.75
Au 0.0000 0.0000 0.0000  8 Sc 2.75

Below is crystalline Sc2Au at its relaxed geometry, with properties calculated at the PBEsol level.

Summary:
Space group = No. 62
Electronic total energy = -6.383 eV per atom
DOS at the Fermi energy = 2.8 states/eV/f.u.
ΔE_f = -671 meV per atom
Magnetization = 0.00 μB per atom

Cell: 4.6203 6.4490 8.2873 Å, 90.00 90.00 90.00°
With the nearest neighbours (Å) after each atom.
Positions (direct):
Sc 0.2500 0.8432 0.5773  4 Au 2.69-2.81
Sc 0.2500 0.9842 0.1867  3 Au 2.78-2.93
Sc 0.7500 0.1568 0.4227  4 Au 2.69-2.81
Sc 0.7500 0.5158 0.6867  3 Au 2.78-2.93
Sc 0.2500 0.3432 0.9227  4 Au 2.69-2.81
Sc 0.7500 0.6568 0.0773  4 Au 2.69-2.81
Sc 0.7500 0.0158 0.8133  3 Au 2.78-2.93
Sc 0.2500 0.4842 0.3133  3 Au 2.78-2.93
Au 0.2500 0.7590 0.9013  7 Sc 2.69-2.93
Au 0.7500 0.2410 0.0987  7 Sc 2.69-2.93
Au 0.2500 0.2590 0.5987  7 Sc 2.69-2.93
Au 0.7500 0.7410 0.4013  7 Sc 2.69-2.93

Below is crystalline Sc3Au at its relaxed geometry, with properties calculated at the PBEsol level.

Summary:
Space group = No. 62
Electronic total energy = -6.420 eV per atom
DOS at the Fermi energy = 1.5 states/eV/f.u.
ΔE_f = -485 meV per atom
Magnetization = 0.00 μB per atom

Cell: 6.1925 6.2382 8.7229 Å, 90.00 90.00 90.00°
With the nearest neighbours (Å) after each atom.
Positions (direct):
Sc 0.2759 0.7763 0.5461  2 Au 2.75-2.85
Sc 0.7759 0.7237 0.9539  2 Au 2.75-2.85
Sc 0.0052 0.9132 0.2500  2 Au 2.65-2.90
Sc 0.5052 0.5868 0.2500  2 Au 2.65-2.90
Sc 0.2241 0.2763 0.4539  2 Au 2.75-2.85
Sc 0.7759 0.7237 0.5461  2 Au 2.75-2.85
Sc 0.9948 0.0868 0.7500  2 Au 2.65-2.90
Sc 0.4948 0.4132 0.7500  2 Au 2.65-2.90
Sc 0.2759 0.7763 0.9539  2 Au 2.75-2.85
Sc 0.2241 0.2763 0.0461  2 Au 2.75-2.85
Sc 0.7241 0.2237 0.4539  2 Au 2.75-2.85
Sc 0.7241 0.2237 0.0461  2 Au 2.75-2.85
Au 0.9640 0.4906 0.2500  6 Sc 2.65-2.90
Au 0.4640 0.0094 0.2500  6 Sc 2.65-2.90
Au 0.5360 0.9906 0.7500  6 Sc 2.65-2.90
Au 0.0360 0.5094 0.7500  6 Sc 2.65-2.90

Below is crystalline Sc5Au3 at its relaxed geometry, with properties calculated at the PBEsol level.

Summary:
Space group = No. 140
Electronic total energy = -6.220 eV per atom
DOS at the Fermi energy = 11.2 states/eV/f.u.
ΔE_f = -620 meV per atom
Magnetization = 0.00 μB per atom
Relative energy among the computed polymorphs = 40 meV/atom

Cell: 5.5222 8.1254 8.1254 Å, 83.37 70.13 70.13°
With the nearest neighbours (Å) after each atom.
Positions (direct):
Au 0.2500 0.0000 0.0000  2 Au 2.76, 8 Sc 2.83
Au 0.7500 0.0000 0.0000  2 Au 2.76, 8 Sc 2.83
Au 0.8392 0.5000 0.8216  6 Sc 2.82-2.95
Au 0.6608 0.1784 0.5000  6 Sc 2.82-2.95
Au 0.1608 0.5000 0.1784  6 Sc 2.82-2.95
Au 0.3392 0.8216 0.5000  6 Sc 2.82-2.95
Sc 0.7867 0.2950 0.1317  4 Au 2.83-2.95, 1 Sc 3.13
Sc 0.7133 0.8683 0.7050  4 Au 2.83-2.95, 1 Sc 3.13
Sc 0.2500 0.5000 0.5000  2 Sc 2.76, 4 Au 2.82
Sc 0.7500 0.5000 0.5000  2 Sc 2.76, 4 Au 2.82
Sc 0.9184 0.8683 0.2950  4 Au 2.83-2.95, 1 Sc 3.13
Sc 0.2133 0.7050 0.8683  4 Au 2.83-2.95, 1 Sc 3.13
Sc 0.5816 0.7050 0.1317  4 Au 2.83-2.95, 1 Sc 3.13
Sc 0.0816 0.1317 0.7050  4 Au 2.83-2.95, 1 Sc 3.13
Sc 0.2867 0.1317 0.2950  4 Au 2.83-2.95, 1 Sc 3.13
Sc 0.4184 0.2950 0.8683  4 Au 2.83-2.95, 1 Sc 3.13

Below is crystalline Sc2AuSe at its relaxed geometry, with properties calculated at the PBEsol level.

Summary:
Space group = No. 166
E_form (uncorrected) = -1.153 eV per atom
Electronic total energy = -6.399 eV per atom
DOS at the Fermi energy = 2.1 states/eV/f.u.
Magnetization = 0.00 μB per atom

Cell: 3.6871 3.6871 7.2216 Å, 75.21 75.21 60.00°
With the nearest neighbours (Å) after each atom.
Positions (direct):
Au 0.5000 0.5000 0.5000  6 Sc 2.77
Sc 0.2523 0.2523 0.2430  3 Se 2.71, 3 Au 2.77
Sc 0.7477 0.7477 0.7570  3 Se 2.71, 3 Au 2.77
Se 0.0000 0.0000 0.0000  6 Sc 2.71

Below is crystalline Sc2AuSe at its relaxed geometry, with properties calculated at the PBEsol level.

Summary:
Space group = No. 160
E_form (uncorrected) = -0.567 eV per atom
Electronic total energy = -5.813 eV per atom
DOS at the Fermi energy = 3.0 states/eV/f.u.
Magnetization = 0.22 μB per atom

Cell: 3.6033 3.6033 8.4202 Å, 77.64 77.64 60.00°
With the nearest neighbours (Å) after each atom.
Positions (direct):
Au 0.2502 0.2502 0.2495  3 Sc 2.71, 3 Se 2.98
Sc 0.7658 0.7658 0.7027  3 Se 2.60
Sc 0.9879 0.9879 0.0363  3 Au 2.71
Se 0.4962 0.4962 0.5115  3 Sc 2.60

Which value of electronic total energy does entry 1 give?
-6.343 eV per atom